No. 1
Computed, not measured: crystalline As3C at its relaxed geometry at the PBE-GGA level of DFT.

a = 2.9979 Å, b = 7.7727 Å, c = 7.0539 Å
α = 90.00°, β = 90.00°, γ = 90.00°
Last column: nearest neighbours and their distance in Å.
Atoms (fractional coordinates):
As1 0.2500 0.0791 0.2295  1 C 2.01
As2 0.2500 0.4209 0.2295  1 C 2.01
As3 0.2500 0.7500 0.3755  2 C 1.97
As4 0.7500 0.2500 0.6245  2 C 1.97
As5 0.7500 0.5791 0.7705  1 C 2.01
As6 0.7500 0.9209 0.7705  1 C 2.01
C1 0.2500 0.2500 0.4427  4 As 1.97-2.01
C2 0.7500 0.7500 0.5573  4 As 1.97-2.01

---

No. 2
Computed, not measured: crystalline SrLiRe2 at its relaxed geometry at the PBE-GGA level of DFT.

a = 5.9106 Å, b = 5.9106 Å, c = 4.6191 Å
α = 110.84°, β = 110.84°, γ = 28.15°
Last column: nearest neighbours and their distance in Å.
Atoms (fractional coordinates):
Sr1 0.0000 0.0000 0.0000  4 Li 2.72, 2 Sr 2.87
Li1 0.5000 0.5000 0.5000  4 Sr 2.72, 4 Re 2.84, 2 Li 2.87
Re1 0.2298 0.2298 0.7287  6 Re 2.73-2.87, 2 Li 2.84
Re2 0.7702 0.7702 0.2713  6 Re 2.73-2.87, 2 Li 2.84

---

ΔH_f (0 K) values, unit eV per atom, following the record order: 0.541, 0.735.
Fermi-level density of states values, unit states/eV/cell, following the record order: 0.6, 2.7.